Li2FeO3 | PBEsol | optimized geometry

For the electronic total energy, the calculation gives -156.7 eV/cell. For the density of states at the Fermi level, the calculation gives 0.55 states/eV/atom.

It has space group C2/m (No. 12), with a = 4.856 Å, b = 8.403 Å, c = 4.940 Å, α = 90.00°, β = 109.41° and γ = 90.00°. Symmetry generates all atoms from Li at (0.000, 0.000, 0.000), Li at (0.000, 0.161, 0.500), Li at (0.000, 0.500, 0.500), Fe at (0.000, 0.333, 0.000), O at (0.218, 0.500, 0.227) and O at (0.245, 0.321, 0.778).